No. 1
Entry from the Alexandria database: a crystal of BaAg2Te relaxed with PBEsol (SCAN).

Values from the calculation:
ΔE_f (raw) (eV per atom): -0.33
Volume (Å³/atom): 27.18

Cell: 7.576 7.576 7.576 Å, 90.00 90.00 90.00°
Space group F-43m (No. 216)
Symmetry-distinct sites (fractional):
Ba (0.000, 0.000, 0.000) x4
Ag (0.000, 0.000, 0.500) x4
Ag (0.250, 0.250, 0.250) x4
Te (0.250, 0.250, 0.750) x4

---

No. 2
Entry from the Alexandria database: a crystal of CaMg2Al relaxed with PBEsol (SCAN).

Values from the calculation:
Volume (Å³/atom): 24.47
DFT total energy (eV/atom): -6.72

Cell: 6.328 9.609 3.220 Å, 90.00 90.00 90.00°
Space group Cmmm (No. 65)
Symmetry-distinct sites (fractional):
Ca (0.000, 0.000, 0.000) x2
Mg (0.250, 0.250, 0.500) x4
Al (0.000, 0.500, 0.000) x2

---

No. 3
Entry from the Alexandria database: a crystal of Li4TeIr relaxed with PBEsol (SCAN).

Values from the calculation:
ΔE_f (raw) (eV per atom): -0.13
Volume (Å³/atom): 13.43

Cell: 6.857 6.857 6.857 Å, 90.00 90.00 90.00°
Space group F-43m (No. 216)
Symmetry-distinct sites (fractional):
Li (0.122, 0.122, 0.122) x16
Te (0.000, 0.000, 0.500) x4
Ir (0.250, 0.250, 0.750) x4

---

Which value of volume does entry 3 give?
13.43 Å³/atom

---

Number 1 is which compound?
BaAg2Te